This record from Alexandria via LeMat-Bulk describes an optimized crystal structure of Y4In2Ag3. The functional is PBE-GGA.

* space-group type: No. 12
* total moment: 0.00 μB per formula unit
* DFT formation energy: -0.348 eV per atom

Geometry as POSCAR:
```
Y4In2Ag3
1.0
4.940 0.001 0.001
2.469 5.019 0.773
-0.002 0.967 9.123
Y In Ag
4 2 3
Cartesian
4.938 4.497 8.730
2.469 4.730 3.837
4.939 1.256 6.060
2.469 1.490 1.167
2.468 3.031 7.061
4.939 2.955 2.836
2.469 1.788 4.171
0.000 0.000 0.000
4.938 4.199 5.726
```